Entry from Alexandria via LeMat-Bulk: a geometry-optimized Li2AgRu structure (PBE).

Structure (extended XYZ):
```
4
Lattice="1.418 -2.298 0.000 1.418 2.298 0.000 0.000 0.000 9.664" Properties=species:S:1:pos:R:3 pbc="T T T"
Li 0.000 0.000 0.000
Li 1.418 0.000 2.662
Ag 0.000 0.000 4.965
Ru 1.418 0.000 7.480
```

Output
- crystal system = orthorhombic
- energy relative to the lowest polymorph listed for this composition (meV per atom) = 141
- size of the total moment (μB per formula unit) = 0.0

Entry from Alexandria via LeMat-Bulk: a geometry-optimized Li2AgRu structure (PBE).

Structure (extended XYZ):
```
4
Lattice="4.573 0.000 0.000 0.000 4.573 0.000 0.000 0.000 2.672" Properties=species:S:1:pos:R:3 pbc="T T T"
Li 0.000 2.286 0.000
Li 2.286 0.000 0.000
Ag 0.000 0.000 1.336
Ru 2.286 2.286 1.336
```

Output
- crystal system = tetragonal
- energy relative to the lowest polymorph listed for this composition (meV per atom) = 159
- size of the total moment (μB per formula unit) = 0.4

Entry from Alexandria via LeMat-Bulk: a geometry-optimized LiAg2Ru structure (PBE).

Structure (extended XYZ):
```
4
Lattice="1.427 -2.353 0.000 1.427 2.353 0.000 0.000 0.000 9.538" Properties=species:S:1:pos:R:3 pbc="T T T"
Li 0.000 0.000 0.000
Ag 1.427 0.000 2.305
Ag 1.427 0.000 7.233
Ru 0.000 0.000 4.769
```

Output
- crystal system = orthorhombic
- energy relative to the lowest polymorph listed for this composition (meV per atom) = 89
- size of the total moment (μB per formula unit) = 0.7

Entry from Alexandria via LeMat-Bulk: a geometry-optimized Li2AgRu structure (PBE).

Structure (extended XYZ):
```
4
Lattice="2.648 0.000 0.000 0.000 2.648 0.000 0.000 0.000 8.360" Properties=species:S:1:pos:R:3 pbc="T T T"
Li 0.000 0.000 2.016
Li 0.000 0.000 6.344
Ag 1.324 1.324 4.180
Ru 1.324 1.324 0.000
```

Output
- crystal system = tetragonal
- energy relative to the lowest polymorph listed for this composition (meV per atom) = 34
- size of the total moment (μB per formula unit) = 0.0

For each record above, in turn, the calculated energy of formation from the pure elements values are 0.81; 0.89; 1.07; 0.39 eV/f.u..